(1)
Li2Ac4In5 | PBE-GGA | relaxed

The structure belongs to space group P2/m (No. 10); the cell edges are 8.2409, 3.9695 and 10.6665 Å and the angles 90.00°, 94.51° and 90.00°. Symmetry generates all atoms from Li at (0.0582, 0.0000, 0.1321), Ac at (0.1739, 0.5000, 0.3856), Ac at (0.2890, 0.5000, 0.9332), In at (0.1896, 0.0000, 0.6677), In at (0.4237, 0.0000, 0.2053) and In at (0.5000, 0.0000, 0.5000).

The calculation puts the formation energy at -264 kJ/mol of formula units. The calculated total energy is -3.336 eV/atom. The theoretical density comes out at 7.1 g/cm³.

***

(2)
LiAc2In3 | PBE-GGA | relaxed

The structure belongs to space group Pmm2 (No. 25); the cell edges are 4.0540, 5.1153 and 8.8428 Å and the angles 90.00°, 90.00° and 90.00°. Symmetry generates all atoms from Li at (0.0000, 0.0000, 0.0000), Ac at (0.5000, 0.0000, 0.6674), Ac at (0.5000, 0.5000, 0.1765), In at (0.0000, 0.0000, 0.3235), In at (0.0000, 0.5000, 0.5106) and In at (0.0000, 0.5000, 0.8514).

The calculation puts the formation energy at -235 kJ/mol of formula units. The calculated total energy is -3.463 eV/atom. The theoretical density comes out at 7.3 g/cm³.

***

(3)
Li2Ac3In5 | PBE-GGA | relaxed

The structure belongs to space group P4/mbm (No. 127); the cell edges are 11.1545, 11.1545 and 4.5577 Å and the angles 90.00°, 90.00° and 90.00°. Symmetry generates all atoms from Li at (0.1135, 0.3865, 0.0000), Ac at (0.0000, 0.0000, 0.0000), Ac at (0.1784, 0.6784, 0.0000), In at (0.0000, 0.5000, 0.5000) and In at (0.0692, 0.2287, 0.5000).

The calculation puts the formation energy at -398 kJ/mol of formula units. The calculated total energy is -3.397 eV/atom. The theoretical density comes out at 7.4 g/cm³.

***

(4)
Li4Ac2In3 | PBE-GGA | relaxed

The structure belongs to space group Cmce (No. 64); the cell edges are 6.3538, 17.1809 and 8.4580 Å and the angles 90.00°, 90.00° and 90.00°. Symmetry generates all atoms from Li at (0.0000, 0.1776, 0.0097), Li at (0.2500, 0.0639, 0.7500), Ac at (0.0000, 0.1102, 0.4102), In at (0.0000, 0.0000, 0.0000) and In at (0.2500, 0.2294, 0.7500).

The calculation puts the formation energy at -217 kJ/mol of formula units. The calculated total energy is -2.926 eV/atom. The theoretical density comes out at 5.9 g/cm³.

***

(5)
LiAc2In2 | PBE-GGA | relaxed

The structure belongs to space group C2/m (No. 12); the cell edges are 11.6952, 5.1185 and 12.1207 Å and the angles 90.00°, 118.30° and 90.00°. Symmetry generates all atoms from Li at (0.1397, 0.0000, 0.3642), Ac at (0.0839, 0.5000, 0.8975), Ac at (0.1838, 0.0000, 0.6705), In at (0.0752, 0.5000, 0.4306) and In at (0.1313, 0.0000, 0.1191).

The calculation puts the formation energy at -174 kJ/mol of formula units. The calculated total energy is -3.483 eV/atom. The theoretical density comes out at 7.2 g/cm³.

***

(6)
LiAc5In4 | PBE-GGA | relaxed

The structure belongs to space group P4/mmm (No. 123); the cell edges are 4.0813, 4.0813 and 20.7149 Å and the angles 90.00°, 90.00° and 90.00°. Symmetry generates all atoms from Li at (0.0000, 0.0000, 0.0000), Ac at (0.5000, 0.5000, 0.1024), Ac at (0.5000, 0.5000, 0.2995), Ac at (0.5000, 0.5000, 0.5000), In at (0.0000, 0.0000, 0.1969) and In at (0.0000, 0.0000, 0.4003).

The calculation puts the formation energy at -315 kJ/mol of formula units. The calculated total energy is -3.668 eV/atom. The theoretical density comes out at 7.7 g/cm³.

***

(7)
Li4AcIn | PBE-GGA | relaxed

The structure belongs to space group F-43m (No. 216); the cell edges are 8.1737, 8.1737 and 8.1737 Å and the angles 90.00°, 90.00° and 90.00°. Symmetry generates all atoms from Li at (0.1229, 0.1229, 0.1229), Ac at (0.0000, 0.0000, 0.5000) and In at (0.2500, 0.2500, 0.7500).

The calculation puts the formation energy at -86 kJ/mol of formula units. The calculated total energy is -2.566 eV/atom. The theoretical density comes out at 4.5 g/cm³.

***

(8)
Li2AcIn3 | PBE-GGA | relaxed

The structure belongs to space group P6_3/mmc (No. 194); the cell edges are 4.7405, 4.7405 and 15.5558 Å and the angles 90.00°, 90.00° and 120.00°. Symmetry generates all atoms from Li at (0.3333, 0.6667, 0.0746), Ac at (0.0000, 0.0000, 0.2500), In at (0.0000, 0.0000, 0.0000) and In at (0.3333, 0.6667, 0.6146).

The calculation puts the formation energy at -191 kJ/mol of formula units. The calculated total energy is -3.022 eV/atom. The theoretical density comes out at 6.4 g/cm³.

***

(9)
Li2Ac3In3 | PBE-GGA | relaxed

The structure belongs to space group Cmcm (No. 63); the cell edges are 5.1104, 11.3903 and 16.9206 Å and the angles 90.00°, 90.00° and 90.00°. Symmetry generates all atoms from Li at (0.0000, 0.2069, 0.0891), Ac at (0.0000, 0.0997, 0.6100), Ac at (0.0000, 0.3901, 0.7500), In at (0.0000, 0.3117, 0.2500) and In at (0.0000, 0.3890, 0.5431).

The calculation puts the formation energy at -270 kJ/mol of formula units. The calculated total energy is -3.396 eV/atom. The theoretical density comes out at 7.0 g/cm³.

***

(10)
Li2AcIn4 | PBE-GGA | relaxed

The structure belongs to space group Immm (No. 71); the cell edges are 3.4100, 4.8730 and 21.9347 Å and the angles 90.00°, 90.00° and 90.00°. Symmetry generates all atoms from Li at (0.0000, 0.0000, 0.2055), Ac at (0.0000, 0.5000, 0.0000), In at (0.0000, 0.0000, 0.3383) and In at (0.0000, 0.5000, 0.4152).

The calculation puts the formation energy at -183 kJ/mol of formula units. The calculated total energy is -2.970 eV/atom. The theoretical density comes out at 6.4 g/cm³.

***

(11)
LiAc2In12 | PBE-GGA | relaxed

The structure belongs to space group P4/nbm (No. 125, origin choice 2); the cell edges are 6.9470, 6.9470 and 17.3588 Å and the angles 90.00°, 90.00° and 90.00°. Symmetry generates all atoms from Li at (0.2500, 0.7500, 0.0000), Ac at (0.2500, 0.7500, 0.2439), In at (0.0011, 0.5011, 0.0852), In at (0.0847, 0.5847, 0.5702), In at (0.2500, 0.2500, 0.1823) and In at (0.2500, 0.2500, 0.3434).

The calculation puts the formation energy at -332 kJ/mol of formula units. The calculated total energy is -3.095 eV/atom. The theoretical density comes out at 7.3 g/cm³.

***

(12)
LiAc12In6 | PBE-GGA | relaxed

The structure belongs to space group R-3 (No. 148, hexagonal axes); the cell edges are 15.7978, 15.7978 and 10.7505 Å and the angles 90.00°, 90.00° and 120.00°. Symmetry generates all atoms from Li at (0.0000, 0.0000, 0.0000), Ac at (0.0485, 0.2024, 0.3011), Ac at (0.0538, 0.2399, 0.9202) and In at (0.0579, 0.2534, 0.6048).

The calculation puts the formation energy at -110 kJ/mol of formula units. The calculated total energy is -3.620 eV/atom. The theoretical density comes out at 7.3 g/cm³.

***

(13)
Li2Ac2In3 | PBE-GGA | relaxed

The structure belongs to space group C2/m (No. 12); the cell edges are 11.6243, 4.9378 and 7.4497 Å and the angles 90.00°, 113.98° and 90.00°. Symmetry generates all atoms from Li at (0.1362, 0.0000, 0.2458), Ac at (0.1536, 0.0000, 0.7719), In at (0.0000, 0.5000, 0.0000) and In at (0.1083, 0.5000, 0.4350).

The calculation puts the formation energy at -223 kJ/mol of formula units. The calculated total energy is -3.224 eV/atom. The theoretical density comes out at 6.9 g/cm³.

***

(14)
Li2Ac3In4 | PBE-GGA | relaxed

The structure belongs to space group C2/m (No. 12); the cell edges are 11.8610, 5.1476 and 9.8028 Å and the angles 90.00°, 115.71° and 90.00°. Symmetry generates all atoms from Li at (0.0925, 0.0000, 0.2636), Ac at (0.0000, 0.5000, 0.0000), Ac at (0.1723, 0.0000, 0.6544), In at (0.0351, 0.5000, 0.3666) and In at (0.2347, 0.0000, 0.0779).

The calculation puts the formation energy at -346 kJ/mol of formula units. The calculated total energy is -3.410 eV/atom. The theoretical density comes out at 7.1 g/cm³.

***

(15)
LiAcIn11 | PBE-GGA | relaxed

The structure belongs to space group C2/m (No. 12); the cell edges are 6.3441, 15.0437 and 7.8049 Å and the angles 90.00°, 109.67° and 90.00°. Symmetry generates all atoms from Li at (0.0000, 0.0000, 0.0000), Ac at (0.0000, 0.5000, 0.5000), In at (0.0000, 0.5000, 0.0000), In at (0.0942, 0.1032, 0.7162), In at (0.1925, 0.3273, 0.8630) and In at (0.2500, 0.2500, 0.5000).

The calculation puts the formation energy at -147 kJ/mol of formula units. The calculated total energy is -2.898 eV/atom. The theoretical density comes out at 7.1 g/cm³.

***

(16)
LiAc6In2 | PBE-GGA | relaxed

The structure belongs to space group C2/m (No. 12); the cell edges are 17.7542, 8.0038 and 5.5946 Å and the angles 90.00°, 108.32° and 90.00°. Symmetry generates all atoms from Li at (0.0000, 0.0000, 0.0000), Ac at (0.0000, 0.2497, 0.5000), Ac at (0.1651, 0.2488, 0.1650) and In at (0.1668, 0.5000, 0.6668).

The calculation puts the formation energy at 30 kJ/mol of formula units. The calculated total energy is -3.525 eV/atom. The theoretical density comes out at 7.0 g/cm³.

***

(17)
Li3Ac2In2 | PBE-GGA | relaxed

The structure belongs to space group C2/m (No. 12); the cell edges are 11.6635, 5.0906 and 7.1287 Å and the angles 90.00°, 110.38° and 90.00°. Symmetry generates all atoms from Li at (0.0000, 0.0000, 0.0000), Li at (0.1096, 0.0000, 0.4217), Ac at (0.1504, 0.5000, 0.7657) and In at (0.1445, 0.5000, 0.2475).

The calculation puts the formation energy at -172 kJ/mol of formula units. The calculated total energy is -3.032 eV/atom. The theoretical density comes out at 5.9 g/cm³.

***

(18)
LiAc5In6 | PBE-GGA | relaxed

The structure belongs to space group C2/m (No. 12); the cell edges are 18.0763, 7.9791 and 5.6852 Å and the angles 90.00°, 108.24° and 90.00°. Symmetry generates all atoms from Li at (0.0000, 0.0000, 0.0000), Ac at (0.0000, 0.5000, 0.0000), Ac at (0.1621, 0.5000, 0.6615), Ac at (0.1782, 0.0000, 0.6779), In at (0.0000, 0.2095, 0.5000) and In at (0.1513, 0.2238, 0.1510).

The calculation puts the formation energy at -436 kJ/mol of formula units. The calculated total energy is -3.617 eV/atom. The theoretical density comes out at 7.8 g/cm³.

***

(19)
Li4AcIn8 | PBE-GGA | relaxed

The structure belongs to space group I4/mmm (No. 139); the cell edges are 10.0586, 10.0586 and 5.9416 Å and the angles 90.00°, 90.00° and 90.00°. Symmetry generates all atoms from Li at (0.2500, 0.2500, 0.2500), Ac at (0.0000, 0.0000, 0.0000), In at (0.0000, 0.2198, 0.5000) and In at (0.0000, 0.3451, 0.0000).

The calculation puts the formation energy at -372 kJ/mol of formula units. The calculated total energy is -2.887 eV/atom. The theoretical density comes out at 6.5 g/cm³.

***

(20)
Li2AcIn3 | PBE-GGA | relaxed

The structure belongs to space group Cmcm (No. 63); the cell edges are 11.5748, 9.3339 and 5.5147 Å and the angles 90.00°, 90.00° and 90.00°. Symmetry generates all atoms from Li at (0.2112, 0.0000, 0.0000), Ac at (0.0000, 0.3264, 0.2500), In at (0.0000, 0.0666, 0.7500) and In at (0.1876, 0.2814, 0.7500).

The calculation puts the formation energy at -208 kJ/mol of formula units. The calculated total energy is -3.052 eV/atom. The theoretical density comes out at 6.5 g/cm³.

***

| no. | volume (Å³/atom) |
| --- | --- |
| 1 | 31.6 |
| 2 | 30.6 |
| 3 | 28.4 |
| 4 | 25.6 |
| 5 | 31.9 |
| 6 | 34.5 |
| 7 | 22.8 |
| 8 | 25.2 |
| 9 | 30.8 |
| 10 | 26.0 |
| 11 | 27.9 |
| 12 | 40.8 |
| 13 | 27.9 |
| 14 | 30.0 |
| 15 | 27.0 |
| 16 | 41.9 |
| 17 | 28.3 |
| 18 | 32.5 |
| 19 | 23.1 |
| 20 | 24.8 |